Record 1
A geometry-optimized K2In2Hg structure. Source: the Alexandria database, functional PBE-GGA.

abc: 7.7605 7.7605 5.9333
angles: 90.00 90.00 90.00
Space group P4/mbm (No. 127)
Inequivalent atoms, fractional coordinates:
K  0.1789  0.3211  0.0000 x4
In  0.1329  0.6329  0.5000 x4
Hg  0.0000  0.0000  0.5000 x2

Values from the calculation:
VASP energy in eV for the cell shown: -16.7
ΔE_f in eV per atom: -0.080
Magnetic moment in μB/f.u.: 0.0

***

Record 2
A geometry-optimized Pm5Pr2Pd4 structure. Source: the Alexandria database, functional PBE-GGA.

abc: 25.4421 3.6796 6.9612
angles: 90.00 92.43 90.00
Space group C2/m (No. 12)
Inequivalent atoms, fractional coordinates:
Pm  0.0000  0.0000  0.0000 x2
Pm  0.1335  0.5000  0.1784 x4
Pm  0.2337  0.5000  0.7486 x4
Pr  0.0920  0.5000  0.6676 x4
Pd  0.0256  0.5000  0.3150 x4
Pd  0.1726  0.0000  0.4851 x4

Values from the calculation:
VASP energy in eV for the cell shown: -115.7
ΔE_f in eV per atom: -0.342
Magnetic moment in μB/f.u.: 0.0

***

Record 3
A geometry-optimized Sc2VInPd structure. Source: the Alexandria database, functional PBE-GGA.

abc: 5.9727 5.9727 5.4561
angles: 90.00 90.00 90.00
Space group P4/mmm (No. 123)
Inequivalent atoms, fractional coordinates:
Sc  0.0000  0.5000  0.0000 x2
V  0.0000  0.0000  0.5000 x1
In  0.0000  0.0000  0.0000 x1
Pd  0.5000  0.5000  0.5000 x1

Values from the calculation:
VASP energy in eV for the cell shown: -23.3
ΔE_f in eV per atom: 1.274
Magnetic moment in μB/f.u.: 3.9

***

Record 4
A geometry-optimized MgTe structure. Source: the Alexandria database, functional PBE-GGA.

abc: 3.5220 3.5220 10.7367
angles: 90.00 90.00 120.00
Space group P-3m1 (No. 164)
Inequivalent atoms, fractional coordinates:
Mg  0.3333  0.6667  0.1178 x2
Te  0.3333  0.6667  0.6835 x2

Values from the calculation:
VASP energy in eV for the cell shown: -9.9
Magnetic moment in μB/f.u.: 0.0
Formation energy without anion corrections in eV/atom: -0.11

***

Record 5
A geometry-optimized Cd2AgPb structure. Source: the Alexandria database, functional PBE-GGA.

abc: 3.6074 4.6909 5.9637
angles: 90.00 106.99 90.00
Space group Pm (No. 6)
Inequivalent atoms, fractional coordinates:
Cd  0.0000  0.0000  0.0000 x1
Cd  0.4189  0.5000  0.8329 x1
Ag  0.2756  0.0000  0.5368 x1
Pb  0.6972  0.5000  0.3629 x1

Values from the calculation:
VASP energy in eV for the cell shown: -8.2
ΔE_f in eV per atom: 0.059
Magnetic moment in μB/f.u.: 0.0

***

Record 6
A geometry-optimized Na3TeH structure. Source: the Alexandria database, functional PBE-GGA.

abc: 5.2407 6.2369 8.2356
angles: 90.02 108.49 90.02
Space group P1 (No. 1)
Inequivalent atoms, fractional coordinates:
Na  0.0000  0.0000  0.0000 x1
Na  0.1112  0.5000  0.2228 x1
Na  0.2467  0.0593  0.4953 x1
Na  0.4838  0.3339  0.9657 x1
Na  0.6288  0.8339  0.2568 x1
Na  0.8642  0.5591  0.7273 x1
Te  0.4218  0.8220  0.8435 x1
Te  0.6887  0.3221  0.3788 x1
H  0.1290  0.8470  0.2610 x1
H  0.9799  0.3470  0.9616 x1

Values from the calculation:
VASP energy in eV for the cell shown: -26.9
Magnetic moment in μB/f.u.: 0.0

***

| no. | D(E_F) (states/eV per cell) |
| --- | --- |
| 1 | 5.06 |
| 2 | 23.50 |
| 3 | 5.88 |
| 4 | 2.15 |
| 5 | 1.71 |
| 6 | 0.00 |